# 1
The following is a DFT calculation (GGA-PBE) of a relaxed Ac4Pr8Nd3 crystal. Values from VASP.

DOS(E_F): 1.792 states/eV per atom
E_form: 0.315 eV per atom
SG: C2/m (12)

```
&SYSTEM
  ibrav = 0, nat = 15, ntyp = 3
/
ATOMIC_SPECIES
Ac 227.00 Ac.upf
Pr 140.91 Pr.upf
Nd 144.24 Nd.upf
CELL_PARAMETERS angstrom
7.0070 -6.7519 0.0000
7.0070 6.7519 0.0000
-3.7243 0.0000 6.2794
ATOMIC_POSITIONS crystal
Ac 0.0000 0.0000 0.0000
Ac 0.0000 0.0000 0.5000
Ac 0.0000 0.5000 0.0000
Ac 0.5000 0.0000 0.0000
Pr 0.2647 0.7353 0.5000
Pr 0.2753 0.2753 0.5389
Pr 0.2782 0.2782 0.0102
Pr 0.3566 0.6434 0.0000
Pr 0.6434 0.3566 0.0000
Pr 0.7218 0.7218 0.9898
Pr 0.7247 0.7247 0.4611
Pr 0.7353 0.2647 0.5000
Nd 0.0000 0.5000 0.5000
Nd 0.5000 0.0000 0.5000
Nd 0.5000 0.5000 0.5000
```



# 2
The following is a DFT calculation (GGA-PBE) of a relaxed DyY2Ho12 crystal. Values from VASP.

DOS(E_F): 1.644 states/eV per atom
E_form: 0.115 eV per atom
SG: C2/m (12)

```
&SYSTEM
  ibrav = 0, nat = 30, ntyp = 3
/
ATOMIC_SPECIES
Dy 162.50 Dy.upf
Y 88.91 Y.upf
Ho 164.93 Ho.upf
CELL_PARAMETERS angstrom
3.5509 -5.5466 0.0000
3.5509 5.5466 0.0000
-1.7675 0.0000 24.1190
ATOMIC_POSITIONS crystal
Dy 0.2504 0.2504 0.0018
Dy 0.7496 0.7496 0.9982
Y 0.0651 0.0651 0.2715
Y 0.4313 0.4313 0.7283
Y 0.5687 0.5687 0.2717
Y 0.9349 0.9349 0.7285
Ho 0.0456 0.5523 0.2011
Ho 0.0839 0.5803 0.3303
Ho 0.1394 0.6372 0.5551
Ho 0.1425 0.1425 0.5755
Ho 0.2170 0.2170 0.8651
Ho 0.2322 0.7323 0.9260
Ho 0.2677 0.7678 0.0740
Ho 0.2841 0.2841 0.1389
Ho 0.3558 0.3558 0.4265
Ho 0.3628 0.8606 0.4449
Ho 0.4197 0.9161 0.6697
Ho 0.4477 0.9544 0.7989
Ho 0.5523 0.0456 0.2011
Ho 0.5803 0.0839 0.3303
Ho 0.6372 0.1394 0.5551
Ho 0.6442 0.6442 0.5735
Ho 0.7159 0.7159 0.8611
Ho 0.7323 0.2322 0.9260
Ho 0.7678 0.2677 0.0740
Ho 0.7830 0.7830 0.1349
Ho 0.8575 0.8575 0.4245
Ho 0.8606 0.3628 0.4449
Ho 0.9161 0.4197 0.6697
Ho 0.9544 0.4477 0.7989
```



# 3
The following is a DFT calculation (GGA-PBE) of a relaxed DyPu2Sc6 crystal. Values from VASP.

DOS(E_F): 2.269 states/eV per atom
E_form: 0.578 eV per atom
SG: P-31m (162)

```
&SYSTEM
  ibrav = 0, nat = 9, ntyp = 3
/
ATOMIC_SPECIES
Dy 162.50 Dy.upf
Pu 244.00 Pu.upf
Sc 44.96 Sc.upf
CELL_PARAMETERS angstrom
5.4758 0.0000 0.0000
-2.7379 4.7421 0.0000
0.0000 0.0000 10.4979
ATOMIC_POSITIONS crystal
Dy 0.0000 0.0000 0.0000
Pu 0.3333 0.6667 0.5000
Pu 0.6667 0.3333 0.5000
Sc 0.0000 0.3356 0.7471
Sc 0.0000 0.6644 0.2529
Sc 0.3356 0.0000 0.7471
Sc 0.3356 0.3356 0.2529
Sc 0.6644 0.0000 0.2529
Sc 0.6644 0.6644 0.7471
```



# 4
The following is a DFT calculation (GGA-PBE) of a relaxed KMg2MoC crystal. Values from VASP.

DOS(E_F): 0.734 states/eV per atom
E_form: 3.231 eV per atom
SG: P4/mmm (123)

```
&SYSTEM
  ibrav = 0, nat = 5, ntyp = 4
/
ATOMIC_SPECIES
K 39.10 K.upf
Mg 24.30 Mg.upf
Mo 95.94 Mo.upf
C 12.01 C.upf
CELL_PARAMETERS angstrom
5.3988 0.0000 0.0000
0.0000 5.3988 0.0000
0.0000 0.0000 4.8399
ATOMIC_POSITIONS crystal
K 0.0000 0.0000 0.0000
Mg 0.0000 0.5000 0.0000
Mg 0.5000 0.0000 0.0000
Mo 0.0000 0.0000 0.5000
C 0.5000 0.5000 0.5000
```



# 5
The following is a DFT calculation (GGA-PBE) of a relaxed Li2Mg3Hg6 crystal. Values from VASP.

DOS(E_F): 0.359 states/eV per atom
E_form: -0.091 eV per atom
SG: I4/mmm (139)

```
&SYSTEM
  ibrav = 0, nat = 11, ntyp = 3
/
ATOMIC_SPECIES
Li 6.94 Li.upf
Mg 24.30 Mg.upf
Hg 200.59 Hg.upf
CELL_PARAMETERS angstrom
-2.5206 2.5206 10.1347
2.5206 -2.5206 10.1347
2.5206 2.5206 -10.1347
ATOMIC_POSITIONS crystal
Li 0.0612 0.0612 0.0000
Li 0.9388 0.9388 0.0000
Mg 0.3352 0.3352 0.0000
Mg 0.5000 0.5000 0.0000
Mg 0.6648 0.6648 0.0000
Hg 0.0892 0.5892 0.5000
Hg 0.1998 0.1998 0.0000
Hg 0.4108 0.9108 0.5000
Hg 0.5892 0.0892 0.5000
Hg 0.8002 0.8002 0.0000
Hg 0.9108 0.4108 0.5000
```



# 6
The following is a DFT calculation (GGA-PBE) of a relaxed LaHoNiPd crystal. Values from VASP.

Energy above the lowest structure with this stoichiometry: 0 meV per atom
DOS(E_F): 0.599 states/eV per atom
E_form: -0.610 eV per atom
SG: Amm2 (38)

```
&SYSTEM
  ibrav = 0, nat = 4, ntyp = 4
/
ATOMIC_SPECIES
La 138.91 La.upf
Ho 164.93 Ho.upf
Ni 58.69 Ni.upf
Pd 106.42 Pd.upf
CELL_PARAMETERS angstrom
4.5492 0.0000 0.0000
0.0000 1.9236 5.2015
0.0000 -1.9236 5.2015
ATOMIC_POSITIONS crystal
La 0.0000 0.0000 0.0000
Ho 0.5000 0.7226 0.7226
Ni 0.0000 0.2733 0.2733
Pd 0.5000 0.4342 0.4342
```



# 7
The following is a DFT calculation (GGA-PBE) of a relaxed Li5Mg4Zn2 crystal. Values from VASP.

DOS(E_F): 0.333 states/eV per atom
E_form: -0.069 eV per atom
SG: P2/m (10)

```
&SYSTEM
  ibrav = 0, nat = 11, ntyp = 3
/
ATOMIC_SPECIES
Li 6.94 Li.upf
Mg 24.30 Mg.upf
Zn 65.41 Zn.upf
CELL_PARAMETERS angstrom
7.4495 0.0000 0.0000
0.0000 2.9868 0.0000
-0.4777 0.0000 9.5288
ATOMIC_POSITIONS crystal
Li 0.0000 0.0000 0.0000
Li 0.0719 0.0000 0.3013
Li 0.3000 0.0000 0.8343
Li 0.7000 0.0000 0.1657
Li 0.9281 0.0000 0.6987
Mg 0.2285 0.5000 0.5574
Mg 0.3426 0.5000 0.1156
Mg 0.6574 0.5000 0.8844
Mg 0.7715 0.5000 0.4426
Zn 0.4410 0.0000 0.3625
Zn 0.5590 0.0000 0.6375
```



# 8
The following is a DFT calculation (GGA-PBE) of a relaxed YAsF3 crystal. Values from VASP.

Energy above the lowest structure with this stoichiometry: 1279 meV per atom
Formation energy (no corrections): -6.43 eV per formula unit
DOS(E_F): 0.616 states/eV per atom
SG: Pm-3m (221)

```
&SYSTEM
  ibrav = 0, nat = 5, ntyp = 3
/
ATOMIC_SPECIES
Y 88.91 Y.upf
As 74.92 As.upf
F 19.00 F.upf
CELL_PARAMETERS angstrom
4.4809 0.0000 0.0000
0.0000 4.4809 0.0000
0.0000 0.0000 4.4809
ATOMIC_POSITIONS crystal
Y 0.0000 0.0000 0.0000
As 0.5000 0.5000 0.5000
F 0.0000 0.5000 0.5000
F 0.5000 0.0000 0.5000
F 0.5000 0.5000 0.0000
```



Number 1: calculated total energy -4.2833 eV/atom. Number 2: calculated total energy -4.7162 eV/atom. Number 3: calculated total energy -7.3397 eV/atom. Number 4: calculated total energy -1.6376 eV/atom. Number 5: calculated total energy -1.0386 eV/atom. Number 6: calculated total energy -5.7301 eV/atom. Number 7: calculated total energy -1.7503 eV/atom. Number 8: calculated total energy -4.6322 eV/atom.